Below is a relaxed structure of Zn3Co, with properties calculated at the PBE level.

a = 3.5357 Å, b = 3.7153 Å, c = 7.9848 Å
α = 90.00°, β = 90.00°, γ = 90.00°
Space group Immm (No. 71)
One atom of each set of equivalent atoms:
Zn 0.0000 0.0000 0.0000 [2 per cell]
Zn 0.0000 0.5000 0.2481 [4 per cell]
Co 0.0000 0.0000 0.5000 [2 per cell]



Below is a relaxed structure of ZnCo3, with properties calculated at the PBE level.

a = 5.6924 Å, b = 5.6924 Å, c = 5.6924 Å
α = 90.00°, β = 90.00°, γ = 90.00°
Space group Fm-3m (No. 225)
One atom of each set of equivalent atoms:
Zn 0.0000 0.0000 0.0000 [4 per cell]
Co 0.0000 0.0000 0.5000 [4 per cell]
Co 0.2500 0.2500 0.2500 [8 per cell]



Below is a relaxed structure of ZnCo, with properties calculated at the PBE level.

a = 7.2325 Å, b = 7.2325 Å, c = 4.0968 Å
α = 90.00°, β = 90.00°, γ = 90.00°
Space group I4/mmm (No. 139)
One atom of each set of equivalent atoms:
Zn 0.0000 0.2868 0.0000 [8 per cell]
Co 0.1624 0.1624 0.5000 [8 per cell]



Below is a relaxed structure of Zn5Co3, with properties calculated at the PBE level.

a = 7.1440 Å, b = 7.3874 Å, c = 3.7795 Å
α = 90.00°, β = 90.00°, γ = 90.00°
Space group Cmmm (No. 65)
One atom of each set of equivalent atoms:
Zn 0.0000 0.0000 0.0000 [2 per cell]
Zn 0.2319 0.5000 0.5000 [4 per cell]
Zn 0.2500 0.2500 0.0000 [4 per cell]
Co 0.0000 0.2392 0.5000 [4 per cell]
Co 0.0000 0.5000 0.0000 [2 per cell]

Calculated values
distance to the lowest polymorph of the same formula: 0.000 eV per formula unit



VASP energy (eV/atom)
-2.7578 -5.5926 -4.0857 -3.4661
Energy of formation (eV/atom)
-0.026 0.055 0.104 -0.005
Density (g/cm³)
8.1 8.7 7.7 8.4